Er3NiSn3 PBE-GGA optimized geometry; DFT formation energy = -668 meV per atom; space group = No. 12
1.0
-4.278 0.993 0.468
-1.942 -1.135 5.496
1.297 13.189 4.707
Ni Er Sn
2 6 6
Cartesian
-2.926 5.764 2.698
-1.997 7.283 7.972
-3.857 0.817 4.687
-2.090 8.285 4.992
-2.833 4.762 5.678
-3.641 9.971 8.082
-1.066 12.229 5.983
-1.283 3.076 2.588
-0.945 11.397 8.858
-4.411 7.103 7.126
-3.978 1.650 1.812
0.510 9.857 4.587
-5.434 3.190 6.084
-0.512 5.944 3.544



AcSm3Ho3 PBE-GGA optimized geometry; DFT formation energy = 39 meV per atom; space group = No. 176; excess energy over the best structure of this formula in the dataset = 2.5 meV/atom
1.0
-0.098 0.024 -5.833
-4.452 -8.663 0.039
-5.275 8.187 0.123
Ac Sm Ho
2 6 6
Cartesian
-4.751 -3.040 -1.391
-5.075 2.588 -4.280
-3.733 4.292 -1.378
-4.186 0.599 -1.386
-7.158 2.838 -1.326
-2.668 -3.290 -4.344
-6.093 -4.744 -4.293
-5.640 -1.051 -4.285
-5.268 -6.756 -1.398
-1.276 -1.630 -1.444
-8.550 1.178 -4.227
-7.710 -0.736 -1.332
-2.116 0.283 -4.339
-4.558 6.304 -4.273



LiIn3Pb6 PBE-GGA optimized geometry; DFT formation energy = 21 meV per atom; space group = No. 58; excess energy over the best structure of this formula in the dataset = 29.9 meV/atom
1.0
-1.843 1.164 4.238
6.544 -6.520 4.636
7.994 8.779 1.063
Pb In Li
12 6 2
Cartesian
6.283 -3.035 8.924
5.695 4.796 3.839
6.852 1.634 7.888
7.771 7.905 3.887
5.843 1.790 2.049
2.975 -0.530 1.440
9.719 3.954 8.497
4.208 -0.054 4.525
8.486 3.478 5.412
6.999 -1.372 6.098
6.411 6.459 1.014
4.923 -4.481 6.050
7.252 6.281 6.786
5.442 -2.857 3.151
2.796 2.685 3.157
2.350 -2.678 4.437
9.899 0.739 6.780
3.997 4.390 0.531
6.347 1.712 4.969
0.000 0.000 0.000



ZnCo2Pt PBE-GGA optimized geometry; DFT formation energy = -87 meV per atom; space group = No. 12
1.0
-0.589 4.508 -0.743
-2.625 3.693 0.830
2.089 1.660 3.562
Co Pt Zn
2 1 1
Cartesian
0.005 0.026 0.020
-0.568 4.905 1.804
-0.844 7.396 2.736
-0.281 2.465 0.912



CaLaLuTl PBE-GGA optimized geometry; DFT formation energy = -45 meV per atom; space group = No. 216
1.0
5.629 0.000 0.000
2.815 4.875 0.000
2.815 1.625 4.596
La Lu Ca Tl
1 1 1 1
Cartesian
2.815 1.625 1.149
5.629 3.250 2.298
8.444 4.875 3.447
0.000 0.000 0.000



Er2Zn5Cd PBE-GGA optimized geometry; DFT formation energy = -280 meV per atom; space group = No. 63
1.0
-0.116 -2.441 -3.507
-1.036 -5.318 6.341
-8.999 1.151 -0.504
Zn Er Cd
10 4 2
Cartesian
-1.711 -5.168 1.048
-3.101 -4.804 3.446
-8.439 -1.441 1.282
-4.707 -2.651 -0.604
-7.049 -1.804 -1.116
-5.443 -3.957 2.934
-9.579 -3.427 2.703
-4.266 -4.841 0.905
-0.571 -3.181 -0.372
-5.884 -1.767 1.425
0.000 0.000 0.000
-7.464 -4.286 0.625
-4.499 0.576 -0.252
-2.686 -2.322 1.705
-7.732 -5.015 3.747
-2.418 -1.593 -1.416



Na2RuPbO4 PBE-GGA optimized geometry; space group = No. 82; uncorrected formation energy = -1.0975 eV/atom
1.0
5.391 0.097 0.149
-2.209 4.919 -0.149
-2.209 -2.116 4.443
O Na Pb Ru
4 2 1 1
Cartesian
2.995 -0.203 3.143
-0.808 1.854 3.364
-1.963 3.066 1.242
1.722 1.083 1.136
0.487 3.209 1.073
0.000 0.000 0.000
0.487 -0.309 3.370
-2.209 1.401 2.147



Ca3CuO PBE-GGA optimized geometry; space group = No. 221; excess energy over the best structure of this formula in the dataset = 0.0 meV/atom; uncorrected formation energy = -1.1251 eV/atom
1.0
4.788 0.000 0.000
0.000 4.788 0.000
0.000 0.000 4.788
Ca O Cu
3 1 1
Cartesian
2.394 0.000 0.000
0.000 2.394 0.000
0.000 0.000 2.394
0.000 0.000 0.000
2.394 2.394 2.394



| no. | uncorrected energy (eV per atom) |
| --- | --- |
| 1 | -5.17 |
| 2 | -4.53 |
| 3 | -3.22 |
| 4 | -5.47 |
| 5 | -3.50 |
| 6 | -2.33 |
| 7 | -5.53 |
| 8 | -4.14 |